1.
{
  "formula": "CoTcBr2",
  "functional": "PBE",
  "state": "relaxed",
  "lattice_angstrom": [[0.0000, 3.4274, 3.4274], [3.4274, 0.0000, 3.4274], [3.4274, 3.4274, 0.0000]],
  "species": ["Co", "Tc", "Br", "Br"],
  "frac_coords": [[0.0000, 0.0000, 0.0000], [0.2500, 0.2500, 0.2500], [0.5000, 0.5000, 0.5000], [0.7500, 0.7500, 0.7500]],
  "e_form_raw_ev_per_atom": 1.26,
  "polymorph_energy_mev_per_atom": 1101
}

2.
{
  "formula": "PrPuPdPb",
  "functional": "PBE",
  "state": "relaxed",
  "lattice_angstrom": [[0.0000, 3.7808, 3.7808], [3.7808, 0.0000, 3.7808], [3.7808, 3.7808, 0.0000]],
  "species": ["Pr", "Pu", "Pd", "Pb"],
  "frac_coords": [[0.0000, 0.0000, 0.0000], [0.5000, 0.5000, 0.5000], [0.7500, 0.7500, 0.7500], [0.2500, 0.2500, 0.2500]],
  "delta_e_f_ev_per_atom": -0.322
}

3.
{
  "formula": "Sr2GaPtPb",
  "functional": "PBE",
  "state": "relaxed",
  "lattice_angstrom": [[5.9770, 0.0000, 0.0000], [0.0000, 5.9770, 0.0000], [0.0000, 0.0000, 5.0453]],
  "species": ["Sr", "Sr", "Ga", "Pt", "Pb"],
  "frac_coords": [[0.0000, 0.5000, 0.0000], [0.5000, 0.0000, 0.0000], [0.0000, 0.0000, 0.0000], [0.5000, 0.5000, 0.5000], [0.0000, 0.0000, 0.5000]],
  "delta_e_f_ev_per_atom": 0.147,
  "polymorph_energy_mev_per_atom": 692
}